This record from the Alexandria database describes a relaxed Ce3Ge2Ru3 crystal. The functional is PBE.

Total energy, eV/atom: -7.39
Energy above the lowest structure with this stoichiometry, eV per atom: 0.046
Formation enthalpy at 0 K, eV per atom: -0.53
Magnetization, μB/f.u.: 0.00

a b c (Å): 4.3874 10.2154 14.6900
angles (deg): 90.00 90.00 90.00
Space group Cmcm (No. 63)
One atom of each set of equivalent atoms:
Ce 0.0000 0.0898 0.2500 (multiplicity 4)
Ce 0.0000 0.4011 0.1027 (multiplicity 8)
Ge 0.0000 0.3102 0.6119 (multiplicity 8)
Ru 0.0000 0.1397 0.7500 (multiplicity 4)
Ru 0.0000 0.1584 0.0304 (multiplicity 8)

=====

This record from the Alexandria database describes a relaxed DyNpBi2 crystal. The functional is PBE.

Total energy, eV/atom: -6.52
Energy above the lowest structure with this stoichiometry, eV per atom: 0.168
Formation enthalpy at 0 K, eV per atom: -0.20
Magnetization, μB/f.u.: 4.67

a b c (Å): 7.7382 7.7382 7.7382
angles (deg): 90.00 90.00 90.00
Space group Fm-3m (No. 225)
One atom of each set of equivalent atoms:
Dy 0.0000 0.0000 0.0000 (multiplicity 4)
Np 0.0000 0.0000 0.5000 (multiplicity 4)
Bi 0.2500 0.2500 0.2500 (multiplicity 8)

=====

This record from the Alexandria database describes a relaxed Ti2NbS2 crystal. The functional is PBE.

Total energy, eV/atom: -7.77
Energy relative to the elements, uncorrected, eV/atom: -0.948
Energy above the lowest structure with this stoichiometry, eV per atom: 0.093
Magnetization, μB/f.u.: 0.00

a b c (Å): 6.7278 6.7278 3.2776
angles (deg): 90.00 90.00 90.00
Space group P4/mbm (No. 127)
One atom of each set of equivalent atoms:
Ti 0.1515 0.3485 0.0000 (multiplicity 4)
Nb 0.0000 0.0000 0.5000 (multiplicity 2)
S 0.1525 0.6525 0.5000 (multiplicity 4)